1.
AcZn2InNi: optimized geometry, PBE.

Lattice parameters (Å, degrees): 4.221 4.332 6.608 109.13 108.63 90.00
Atoms (fractional coordinates):
Ac 0.435 0.435 0.871
Zn 0.702 0.202 0.404
Zn 0.046 0.046 0.091
In 0.196 0.696 0.392
Ni 0.834 0.834 0.667

Computed properties:
DOS(E_F): 3.8 states/eV per cell
Space-group type: Imm2 (44)
E_tot: -16.709 eV per cell

---

2.
Li6Zn2Cu: optimized geometry, PBE.

Lattice parameters (Å, degrees): 2.597 7.635 9.185 114.56 122.24 90.00
Atoms (fractional coordinates):
Li 0.170 0.331 0.331
Li 0.830 0.000 0.669
Li 0.830 0.669 0.669
Li 0.500 0.329 0.000
Li 0.170 0.000 0.331
Li 0.500 0.671 0.000
Zn 0.666 0.666 0.333
Zn 0.334 0.334 0.667
Cu 0.000 0.000 0.000

Computed properties:
DOS(E_F): 4.3 states/eV per cell
Space-group type: C2/m (12)
Energy above the lowest structure with this stoichiometry: 0.03 eV per formula unit
E_tot: -18.898 eV per cell

---

3.
CaCeHgGe: optimized geometry, PBE.

Lattice parameters (Å, degrees): 5.272 5.272 5.272 60.00 60.00 60.00
Atoms (fractional coordinates):
Ge 0.250 0.250 0.250
Ca 0.500 0.500 0.500
Hg 0.750 0.750 0.750
Ce 0.000 0.000 0.000

Computed properties:
DOS(E_F): 7.7 states/eV per cell
Space-group type: F-43m (216)
E_tot: -14.907 eV per cell

---

Question: Which of these has the highest DOS(E_F)?
Answer: CaCeHgGe

---

Question: The lowest DOS(E_F) belongs to which entry?
Answer: AcZn2InNi